The following is a GGA-PBEsol calculation of an optimized crystal structure of YAlAs2Se, from the Alexandria database.

a b c (Å): 5.3541 5.3541 5.3034
angles (deg): 90.00 90.00 90.00
Space group P4/mmm (No. 123)
Unique sites:
Y: 0.0000 0.0000 0.0000
Al: 0.5000 0.5000 0.5000
As: 0.0000 0.5000 0.0000
Se: 0.0000 0.0000 0.5000

Values from the calculation:
Final energy: -4.685 eV per atom
Magnetization: 0.00 μB/f.u.


The following is a GGA-PBEsol calculation of an optimized crystal structure of Hf2BiSb, from the Alexandria database.

a b c (Å): 7.0779 7.0779 7.0779
angles (deg): 90.00 90.00 90.00
Space group Fm-3m (No. 225)
Unique sites:
Hf: 0.2500 0.2500 0.2500
Bi: 0.0000 0.0000 0.0000
Sb: 0.0000 0.0000 0.5000

Values from the calculation:
Final energy: -7.670 eV per atom
Magnetization: 0.00 μB/f.u.


The following is a GGA-PBEsol calculation of an optimized crystal structure of BaLaHg2, from the Alexandria database.

a b c (Å): 5.6166 5.6166 3.9089
angles (deg): 90.00 90.00 90.00
Space group P4/mmm (No. 123)
Unique sites:
Ba: 0.0000 0.0000 0.0000
La: 0.5000 0.5000 0.0000
Hg: 0.0000 0.5000 0.5000

Values from the calculation:
Final energy: -2.668 eV per atom
Magnetization: 0.00 μB/f.u.
Formation enthalpy at 0 K: -0.51 eV/atom


The following is a GGA-PBEsol calculation of an optimized crystal structure of LiSi2Au, from the Alexandria database.

a b c (Å): 3.2555 3.4515 5.1662
angles (deg): 90.00 90.00 90.00
Space group Pmm2 (No. 25)
Unique sites:
Li: 0.0000 0.0000 0.0000
Si: 0.0000 0.0000 0.4812
Si: 0.5000 0.5000 0.2710
Au: 0.5000 0.5000 0.7811

Values from the calculation:
Final energy: -4.464 eV per atom
Magnetization: 0.00 μB/f.u.
Relative energy among the computed polymorphs: 0 meV/atom


The following is a GGA-PBEsol calculation of an optimized crystal structure of LiLaTa, from the Alexandria database.

a b c (Å): 6.6400 6.6400 6.6400
angles (deg): 90.00 90.00 90.00
Space group F-43m (No. 216)
Unique sites:
Li: 0.0000 0.0000 0.0000
La: 0.0000 0.0000 0.5000
Ta: 0.2500 0.2500 0.2500

Values from the calculation:
Final energy: -5.389 eV per atom
Magnetization: 1.07 μB/f.u.
Formation enthalpy at 0 K: 1.23 eV/atom


The following is a GGA-PBEsol calculation of an optimized crystal structure of RePbNO2, from the Alexandria database.

a b c (Å): 3.9757 3.9757 3.9149
angles (deg): 90.00 90.00 90.00
Space group P4/mmm (No. 123)
Unique sites:
Re: 0.0000 0.0000 0.0000
Pb: 0.5000 0.5000 0.5000
N: 0.0000 0.0000 0.5000
O: 0.0000 0.5000 0.0000

Values from the calculation:
Final energy: -8.038 eV per atom
Magnetization: 0.00 μB/f.u.